No. 1
VASP calculation (PBE with a Hubbard U) on a geometry-optimized AlMo2O structure.

POSCAR file:
```
AlMo2O
1.0
0.000 3.233 3.233
3.233 0.000 3.233
3.233 3.233 0.000
Al Mo O
1 2 1
direct
0.000 0.000 0.000
0.250 0.250 0.250
0.750 0.750 0.750
0.500 0.500 0.500
```

Properties
Electronic total energy   -4.761 eV per atom
Space group   No. 225

---

No. 2
VASP calculation (PBE with a Hubbard U) on a geometry-optimized AlMo3O structure.

POSCAR file:
```
AlMo3O
1.0
4.163 0.000 0.000
0.000 4.163 0.000
0.000 0.000 4.163
Al Mo O
1 3 1
direct
0.000 0.000 0.000
0.000 0.500 0.500
0.500 0.000 0.500
0.500 0.500 0.000
0.500 0.500 0.500
```

Properties
Electronic total energy   -5.491 eV per atom
Energy relative to the lowest polymorph listed for this composition   0 meV/atom
Space group   No. 221

---

No. 3
VASP calculation (PBE with a Hubbard U) on a geometry-optimized AlMoO4 structure.

POSCAR file:
```
AlMoO4
1.0
4.967 -4.429 0.000
4.967 4.429 0.000
-2.734 0.000 6.647
Al Mo O
4 4 16
direct
0.173 0.827 0.000
0.202 0.202 0.357
0.798 0.798 0.643
0.827 0.173 0.000
0.223 0.777 0.500
0.268 0.268 0.896
0.732 0.732 0.104
0.777 0.223 0.500
0.102 0.803 0.726
0.143 0.143 0.054
0.162 0.162 0.605
0.181 0.537 0.959
0.197 0.898 0.274
0.200 0.492 0.408
0.463 0.819 0.041
0.492 0.200 0.408
0.508 0.800 0.592
0.537 0.181 0.959
0.800 0.508 0.592
0.803 0.102 0.726
0.819 0.463 0.041
0.838 0.838 0.395
0.857 0.857 0.946
0.898 0.197 0.274
```

Properties
Electronic total energy   -7.178 eV per atom
Space group   No. 12

---

No. 4
VASP calculation (PBE with a Hubbard U) on a geometry-optimized AlMoO4 structure.

POSCAR file:
```
AlMoO4
1.0
-2.770 2.770 4.296
2.770 -2.770 4.296
2.770 2.770 -4.296
Al Mo O
1 1 4
direct
0.000 0.000 0.000
0.750 0.250 0.500
0.366 0.199 0.329
0.801 0.130 0.167
0.870 0.037 0.671
0.963 0.634 0.833
```

Properties
Electronic total energy   -7.180 eV per atom
Space group   No. 82

---

No. 5
VASP calculation (PBE with a Hubbard U) on a geometry-optimized Al3MoO structure.

POSCAR file:
```
Al3MoO
1.0
4.064 0.000 0.000
0.000 4.064 0.000
0.000 0.000 4.064
Al Mo O
3 1 1
direct
0.000 0.000 0.500
0.000 0.500 0.000
0.500 0.000 0.000
0.500 0.500 0.500
0.000 0.000 0.000
```

Properties
Electronic total energy   -4.989 eV per atom
Energy relative to the lowest polymorph listed for this composition   0 meV/atom
Space group   No. 221

---

No. 6
VASP calculation (PBE with a Hubbard U) on a geometry-optimized Al2Mo3O12 structure.

POSCAR file:
```
Al2Mo3O12
1.0
12.800 0.000 0.000
0.000 9.177 0.000
0.000 0.000 9.264
Al Mo O
8 12 48
direct
0.119 0.250 0.034
0.119 0.750 0.534
0.381 0.250 0.534
0.381 0.750 0.034
0.619 0.250 0.966
0.619 0.750 0.466
0.881 0.250 0.466
0.881 0.750 0.966
0.000 0.026 0.750
0.000 0.974 0.250
0.145 0.395 0.384
0.145 0.605 0.884
0.355 0.105 0.884
0.355 0.895 0.384
0.500 0.474 0.250
0.500 0.526 0.750
0.645 0.105 0.616
0.645 0.895 0.116
0.855 0.395 0.116
0.855 0.605 0.616
0.022 0.317 0.431
0.022 0.683 0.931
0.068 0.138 0.877
0.068 0.862 0.377
0.093 0.087 0.160
0.093 0.913 0.660
0.140 0.412 0.911
0.140 0.588 0.411
0.167 0.360 0.196
0.167 0.640 0.696
0.245 0.316 0.494
0.245 0.684 0.994
0.255 0.184 0.994
0.255 0.816 0.494
0.333 0.140 0.696
0.333 0.860 0.196
0.360 0.088 0.411
0.360 0.912 0.911
0.407 0.413 0.660
0.407 0.587 0.160
0.432 0.362 0.377
0.432 0.638 0.877
0.478 0.183 0.931
0.478 0.817 0.431
0.522 0.183 0.569
0.522 0.817 0.069
0.568 0.362 0.123
0.568 0.638 0.623
0.593 0.413 0.840
0.593 0.587 0.340
0.640 0.088 0.089
0.640 0.912 0.589
0.667 0.140 0.804
0.667 0.860 0.304
0.745 0.184 0.506
0.745 0.816 0.006
0.755 0.316 0.006
0.755 0.684 0.506
0.833 0.360 0.304
0.833 0.640 0.804
0.860 0.412 0.589
0.860 0.588 0.089
0.907 0.087 0.340
0.907 0.913 0.840
0.932 0.138 0.623
0.932 0.862 0.123
0.978 0.317 0.069
0.978 0.683 0.569
```

Properties
Electronic total energy   -7.200 eV per atom
Space group   No. 60

---

No. 7
VASP calculation (PBE with a Hubbard U) on a geometry-optimized Al2MoO structure.

POSCAR file:
```
Al2MoO
1.0
-2.907 2.907 3.639
2.907 -2.907 3.639
2.907 2.907 -3.639
Al Mo O
4 2 2
direct
0.018 0.625 0.893
0.375 0.268 0.393
0.732 0.125 0.107
0.875 0.982 0.607
0.250 0.750 0.500
0.500 0.500 0.000
0.000 0.000 0.000
0.750 0.250 0.500
```

Properties
Electronic total energy   -5.177 eV per atom
Space group   No. 122

---

No. 8
VASP calculation (PBE with a Hubbard U) on a geometry-optimized AlMoO2 structure.

POSCAR file:
```
AlMoO2
1.0
1.397 0.806 6.243
-1.397 0.806 6.243
0.000 -1.613 6.243
Al Mo O
1 1 2
direct
0.000 0.000 0.000
0.500 0.500 0.500
0.386 0.386 0.386
0.614 0.614 0.614
```

Properties
Electronic total energy   -6.820 eV per atom
Space group   No. 166

---

No. 9
VASP calculation (PBE with a Hubbard U) on a geometry-optimized AlMoO2 structure.

POSCAR file:
```
AlMoO2
1.0
-2.571 2.571 4.258
2.571 -2.571 4.258
2.571 2.571 -4.258
Al Mo O
2 2 4
direct
0.000 0.000 0.000
0.750 0.250 0.500
0.250 0.750 0.500
0.500 0.500 0.000
0.004 0.625 0.879
0.375 0.254 0.379
0.746 0.125 0.121
0.875 0.996 0.621
```

Properties
Electronic total energy   -6.683 eV per atom
Space group   No. 122

---

No. 10
VASP calculation (PBE with a Hubbard U) on a geometry-optimized Al3MoO structure.

POSCAR file:
```
Al3MoO
1.0
4.987 0.000 0.000
0.000 4.987 0.000
0.000 0.000 4.987
Al Mo O
3 1 1
direct
0.000 0.000 0.500
0.000 0.500 0.000
0.500 0.000 0.000
0.000 0.000 0.000
0.500 0.500 0.500
```

Properties
Electronic total energy   -3.488 eV per atom
Energy relative to the lowest polymorph listed for this composition   1501 meV/atom
Space group   No. 221

---

No. 11
VASP calculation (PBE with a Hubbard U) on a geometry-optimized AlMoPbO6 structure.

POSCAR file:
```
AlMoPbO6
1.0
5.146 0.000 0.000
-2.573 4.456 0.000
0.000 0.000 4.953
Al Mo Pb O
1 1 1 6
direct
0.000 0.000 0.000
0.333 0.667 0.000
0.667 0.333 0.500
0.040 0.329 0.212
0.040 0.711 0.788
0.289 0.329 0.788
0.289 0.960 0.212
0.671 0.711 0.212
0.671 0.960 0.788
```

Properties
Electronic total energy   -6.682 eV per atom
Space group   No. 149

---

No. 12
VASP calculation (PBE with a Hubbard U) on a geometry-optimized PmAl2MoO8 structure.

POSCAR file:
```
PmAl2MoO8
1.0
3.235 -3.291 0.000
3.235 3.291 0.000
0.000 0.000 6.453
Pm Al Mo O
1 2 1 8
direct
0.000 0.000 0.000
0.500 0.500 0.270
0.500 0.500 0.730
0.000 0.000 0.500
0.210 0.210 0.289
0.210 0.210 0.711
0.302 0.698 0.500
0.342 0.658 0.000
0.658 0.342 0.000
0.698 0.302 0.500
0.790 0.790 0.289
0.790 0.790 0.711
```

Properties
Electronic total energy   -7.230 eV per atom
Space group   No. 65